Below is a relaxed structure of ThAg2Cl6, with properties calculated at the GGA-PBE level.

Formation energy without anion corrections: -12.4 eV/f.u.
Magnetization: 0.000 μB/atom
Calculated total energy: -4.0658 eV per atom

Cell lengths 7.1413, 7.1413, 7.6986 Å; angles 62.37, 62.37, 60.00 degrees
Last column: nearest neighbours and their distance in Å.
Fractional coordinates of all 9 atoms:
Cl (0.9482, 0.2397, 0.2432)  1 Ag 2.53, 1 Th 2.70
Cl (0.5690, 0.9482, 0.2432)  1 Ag 2.53, 1 Th 2.70
Cl (0.1151, 0.7201, 0.7542)  1 Ag 2.52, 1 Th 2.71
Cl (0.2397, 0.5690, 0.2432)  1 Ag 2.53, 1 Th 2.70
Cl (0.7201, 0.4106, 0.7542)  1 Ag 2.52, 1 Th 2.71
Cl (0.4106, 0.1151, 0.7542)  1 Ag 2.52, 1 Th 2.71
Ag (0.5868, 0.5868, 0.2395)  3 Cl 2.53
Ag (0.7448, 0.7448, 0.7657)  3 Cl 2.52
Th (0.3315, 0.3315, 0.0056)  6 Cl 2.70-2.71